Dy4In3Co: relaxed, PBE-GGA.

```
8
Lattice="3.498 0.000 0.000 0.000 3.498 0.000 0.000 0.000 16.059" Properties=species:S:1:pos:R:3 pbc="T T T"
Dy 0.000 0.000 5.888
Dy 0.000 0.000 10.171
Dy 0.000 0.000 1.607
Dy 0.000 0.000 14.452
In 1.749 1.749 8.030
In 1.749 1.749 3.773
In 1.749 1.749 12.286
Co 1.749 1.749 0.000
```

Computed properties:
ΔH_f (0 K)	-0.391	eV/atom
energy	-4.607	eV/atom
M_tot	0.653	μB per formula unit